1.
# GaN, optimized geometry, DFT PBE
data_GaN
_chemical_formula_sum 'Ga6 N6'
_cell_length_a 9.037
_cell_length_b 3.142
_cell_length_c 5.761
_cell_angle_alpha 90.00
_cell_angle_beta 90.00
_cell_angle_gamma 90.00
_symmetry_space_group_name_H-M 'P m n 21'
_symmetry_Int_Tables_number 31
_symmetry_space_group_name_Hall 'P 2ac -2'
loop_
_atom_site_label
_atom_site_type_symbol
_atom_site_fract_x
_atom_site_fract_y
_atom_site_fract_z
Ga1 Ga 0.000 0.022 0.000
Ga2 Ga 0.207 0.357 0.725
N1 N 0.000 0.519 0.788
N2 N 0.208 0.142 0.082
# **Total magnetic moment**: 0.0 μB/f.u.

2.
# GaN, optimized geometry, DFT PBE
data_GaN
_chemical_formula_sum 'Ga8 N8'
_cell_length_a 8.768
_cell_length_b 8.768
_cell_length_c 3.304
_cell_angle_alpha 90.00
_cell_angle_beta 90.00
_cell_angle_gamma 90.00
_symmetry_space_group_name_H-M 'P 4/m'
_symmetry_Int_Tables_number 83
_symmetry_space_group_name_Hall '-P 4'
loop_
_atom_site_label
_atom_site_type_symbol
_atom_site_fract_x
_atom_site_fract_y
_atom_site_fract_z
Ga1 Ga 0.111 0.613 0.000
Ga2 Ga 0.131 0.281 0.500
N1 N 0.112 0.730 0.500
N2 N 0.134 0.396 0.000
# **Total magnetic moment**: 0.0 μB/f.u.

3.
# Ga4N, optimized geometry, DFT PBE
data_Ga4N
_chemical_formula_sum 'Ga4 N1'
_cell_length_a 4.370
_cell_length_b 4.370
_cell_length_c 4.370
_cell_angle_alpha 90.00
_cell_angle_beta 90.00
_cell_angle_gamma 90.00
_symmetry_space_group_name_H-M 'P m -3 m'
_symmetry_Int_Tables_number 221
_symmetry_space_group_name_Hall '-P 4 2 3'
loop_
_atom_site_label
_atom_site_type_symbol
_atom_site_fract_x
_atom_site_fract_y
_atom_site_fract_z
Ga1 Ga 0.000 0.000 0.000
Ga2 Ga 0.000 0.500 0.500
N1 N 0.500 0.500 0.500
# **Total magnetic moment**: 0.0 μB/f.u.

4.
# GaN, optimized geometry, DFT PBE
data_GaN
_chemical_formula_sum 'Ga4 N4'
_cell_length_a 4.545
_cell_length_b 4.545
_cell_length_c 4.545
_cell_angle_alpha 90.00
_cell_angle_beta 90.00
_cell_angle_gamma 90.00
_symmetry_space_group_name_H-M 'F -4 3 m'
_symmetry_Int_Tables_number 216
_symmetry_space_group_name_Hall 'F -4 2 3'
loop_
_atom_site_label
_atom_site_type_symbol
_atom_site_fract_x
_atom_site_fract_y
_atom_site_fract_z
Ga1 Ga 0.000 0.000 0.000
N1 N 0.250 0.250 0.750
# **Total magnetic moment**: 0.0 μB/f.u.

5.
# GaN, optimized geometry, DFT PBE
data_GaN
_chemical_formula_sum 'Ga2 N2'
_cell_length_a 3.2061
_cell_length_b 3.2061
_cell_length_c 9.0376
_cell_angle_alpha 90.00
_cell_angle_beta 90.00
_cell_angle_gamma 120.00
_symmetry_space_group_name_H-M 'P 63/m m c'
_symmetry_Int_Tables_number 194
_symmetry_space_group_name_Hall '-P 6c 2c'
loop_
_atom_site_label
_atom_site_type_symbol
_atom_site_fract_x
_atom_site_fract_y
_atom_site_fract_z
Ga1 Ga 0.3333 0.6667 0.2500
N1 N 0.0000 0.0000 0.2500
# **Total magnetic moment**: 0.0 μB/f.u.

6.
# GaN, optimized geometry, DFT PBE
data_GaN
_chemical_formula_sum 'Ga6 N6'
_cell_length_a 7.7113
_cell_length_b 7.7113
_cell_length_c 3.2895
_cell_angle_alpha 90.00
_cell_angle_beta 90.00
_cell_angle_gamma 120.00
_symmetry_space_group_name_H-M 'P 63/m'
_symmetry_Int_Tables_number 176
_symmetry_space_group_name_Hall '-P 6c'
loop_
_atom_site_label
_atom_site_type_symbol
_atom_site_fract_x
_atom_site_fract_y
_atom_site_fract_z
Ga1 Ga 0.0769 0.6717 0.2500
N1 N 0.0830 0.4071 0.2500
# **Total magnetic moment**: 0.0 μB/f.u.

7.
# GaN, optimized geometry, DFT PBE
data_GaN
_chemical_formula_sum 'Ga8 N8'
_cell_length_a 6.174
_cell_length_b 6.174
_cell_length_c 6.174
_cell_angle_alpha 90.00
_cell_angle_beta 90.00
_cell_angle_gamma 90.00
_symmetry_space_group_name_H-M 'I -4 3 m'
_symmetry_Int_Tables_number 217
_symmetry_space_group_name_Hall 'I -4 2 3'
loop_
_atom_site_label
_atom_site_type_symbol
_atom_site_fract_x
_atom_site_fract_y
_atom_site_fract_z
Ga1 Ga 0.163 0.163 0.837
N1 N 0.163 0.163 0.163
# **Total magnetic moment**: 0.0 μB/f.u.

8.
# GaN, optimized geometry, DFT PBE
data_GaN
_chemical_formula_sum 'Ga8 N8'
_cell_length_a 5.740
_cell_length_b 5.780
_cell_length_c 6.613
_cell_angle_alpha 90.00
_cell_angle_beta 90.00
_cell_angle_gamma 90.00
_symmetry_space_group_name_H-M 'P 21 21 21'
_symmetry_Int_Tables_number 19
_symmetry_space_group_name_Hall 'P 2ac 2ab'
loop_
_atom_site_label
_atom_site_type_symbol
_atom_site_fract_x
_atom_site_fract_y
_atom_site_fract_z
Ga1 Ga 0.147 0.062 0.227
Ga2 Ga 0.165 0.595 0.971
N1 N 0.162 0.412 0.218
N2 N 0.185 0.103 0.529
# **Total magnetic moment**: 0.0 μB/f.u.

9.
# GaN, optimized geometry, DFT PBE
data_GaN
_chemical_formula_sum 'Ga4 N4'
_cell_length_a 3.1653
_cell_length_b 3.1653
_cell_length_c 10.4892
_cell_angle_alpha 90.00
_cell_angle_beta 90.00
_cell_angle_gamma 120.00
_symmetry_space_group_name_H-M 'P 63 m c'
_symmetry_Int_Tables_number 186
_symmetry_space_group_name_Hall 'P 6c -2c'
loop_
_atom_site_label
_atom_site_type_symbol
_atom_site_fract_x
_atom_site_fract_y
_atom_site_fract_z
Ga1 Ga 0.0000 0.0000 0.0000
Ga2 Ga 0.3333 0.6667 0.2477
N1 N 0.0000 0.0000 0.3103
N2 N 0.3333 0.6667 0.5680
# **Total magnetic moment**: 0.0 μB/f.u.

10.
# GaN, optimized geometry, DFT PBE
data_GaN
_chemical_formula_sum 'Ga6 N6'
_cell_length_a 3.268
_cell_length_b 9.956
_cell_length_c 4.749
_cell_angle_alpha 90.00
_cell_angle_beta 90.00
_cell_angle_gamma 90.00
_symmetry_space_group_name_H-M 'P m m n'
_symmetry_Int_Tables_number 59
loop_
_symmetry_equiv_pos_as_xyz
'x,y,z'
'-x,-y,-z'
'-x+1/2,-y+1/2,z'
'x+1/2,y+1/2,-z'
'x+1/2,-y,-z'
'-x+1/2,y,z'
'-x,y+1/2,-z'
'x,-y+1/2,z'
loop_
_atom_site_label
_atom_site_type_symbol
_atom_site_fract_x
_atom_site_fract_y
_atom_site_fract_z
Ga1 Ga 0.250 0.101 0.103
Ga2 Ga 0.250 0.750 0.392
N1 N 0.250 0.250 0.372
N2 N 0.250 0.599 0.132
# **Total magnetic moment**: 0.0 μB/f.u.

11.
# GaN, optimized geometry, DFT PBE
data_GaN
_chemical_formula_sum 'Ga16 N16'
_cell_length_a 6.252
_cell_length_b 8.882
_cell_length_c 8.894
_cell_angle_alpha 90.00
_cell_angle_beta 90.00
_cell_angle_gamma 90.00
_symmetry_space_group_name_H-M 'F d d d'
_symmetry_Int_Tables_number 70
loop_
_symmetry_equiv_pos_as_xyz
'x,y,z'
'-x,-y,-z'
'-x+1/4,-y+1/4,z'
'x+1/4,y+1/4,-z'
'x,-y+1/4,-z+1/4'
'-x,y+1/4,z+1/4'
'-x+1/4,y,-z+1/4'
'x+1/4,-y,z+1/4'
'x,y+1/2,z+1/2'
'-x,-y+1/2,-z+1/2'
'-x+1/4,-y+3/4,z+1/2'
'x+1/4,y+3/4,-z+1/2'
'x,-y+3/4,-z+3/4'
'-x,y+3/4,z+3/4'
'-x+1/4,y+1/2,-z+3/4'
'x+1/4,-y+1/2,z+3/4'
'x+1/2,y,z+1/2'
'-x+1/2,-y,-z+1/2'
'-x+3/4,-y+1/4,z+1/2'
'x+3/4,y+1/4,-z+1/2'
'x+1/2,-y+1/4,-z+3/4'
'-x+1/2,y+1/4,z+3/4'
'-x+3/4,y,-z+3/4'
'x+3/4,-y,z+3/4'
'x+1/2,y+1/2,z'
'-x+1/2,-y+1/2,-z'
'-x+3/4,-y+3/4,z'
'x+3/4,y+3/4,-z'
'x+1/2,-y+3/4,-z+1/4'
'-x+1/2,y+3/4,z+1/4'
'-x+3/4,y+1/2,-z+1/4'
'x+3/4,-y+1/2,z+1/4'
loop_
_atom_site_label
_atom_site_type_symbol
_atom_site_fract_x
_atom_site_fract_y
_atom_site_fract_z
Ga1 Ga 0.125 0.125 0.284
N1 N 0.125 0.290 0.125
# **Total magnetic moment**: 0.0 μB/f.u.

12.
# NaGaN3, optimized geometry, DFT PBE
data_NaGaN3
_chemical_formula_sum 'Na1 Ga1 N3'
_cell_length_a 4.376
_cell_length_b 4.376
_cell_length_c 4.376
_cell_angle_alpha 90.00
_cell_angle_beta 90.00
_cell_angle_gamma 90.00
_symmetry_space_group_name_H-M 'P m -3 m'
_symmetry_Int_Tables_number 221
_symmetry_space_group_name_Hall '-P 4 2 3'
loop_
_atom_site_label
_atom_site_type_symbol
_atom_site_fract_x
_atom_site_fract_y
_atom_site_fract_z
Na1 Na 0.000 0.000 0.000
Ga1 Ga 0.500 0.500 0.500
N1 N 0.000 0.000 0.500
# **Total magnetic moment**: 7.0 μB/f.u.

V readings, ordered: 164; 254; 83; 94; 80; 169; 235; 219; 91; 154; 494; 84 Å³ per cell
Energy readings, ordered: -5.775; -5.897; -3.669; -6.152; -5.805; -6.020; -5.937; -5.888; -5.877; -5.991; -5.884; -3.311 eV/atom
ΔE_f (raw) readings, ordered: -0.10; -0.22; 0.42; -0.48; -0.13; -0.34; -0.26; -0.21; -0.20; -0.32; -0.21; 2.55 eV per atom